#1
# Na5B9C PBE optimized geometry
data_Na5B9C
_chemical_formula_sum 'Na10 B18 C2'
_space_group_name_H-M_alt 'P 1 21/m 1'
_space_group_IT_number 11
_space_group_name_Hall '-P 2yb'
_cell_length_a 5.115
_cell_length_b 8.674
_cell_length_c 7.936
_cell_angle_alpha 90.00
_cell_angle_beta 108.80
_cell_angle_gamma 90.00
loop_
_atom_site_label
_atom_site_type_symbol
_atom_site_fract_x
_atom_site_fract_y
_atom_site_fract_z
Na1 Na 0.000 0.000 0.000
Na2 Na 0.200 0.000 0.400
Na3 Na 0.403 0.001 0.800
B1 B 0.072 0.750 0.782
B2 B 0.081 0.250 0.801
B3 B 0.110 0.250 0.582
B4 B 0.261 0.250 0.198
B5 B 0.268 0.750 0.205
B6 B 0.320 0.750 0.000
B7 B 0.337 0.250 0.006
B8 B 0.461 0.750 0.600
B9 B 0.464 0.250 0.602
C1 C 0.142 0.750 0.600
# * V: 11.1 Å³ per atom
# * density: 2.23 g/cm³



#2
# Na5B9C PBE optimized geometry
data_Na5B9C
_chemical_formula_sum 'Na10 B18 C2'
_space_group_name_H-M_alt 'P -6 m 2'
_space_group_IT_number 187
_space_group_name_Hall 'P -6 2'
_cell_length_a 3.0051
_cell_length_b 3.0051
_cell_length_c 44.4391
_cell_angle_alpha 90.00
_cell_angle_beta 90.00
_cell_angle_gamma 120.00
loop_
_atom_site_label
_atom_site_type_symbol
_atom_site_fract_x
_atom_site_fract_y
_atom_site_fract_z
Na1 Na 0.0000 0.0000 0.0466
Na2 Na 0.0000 0.0000 0.1210
Na3 Na 0.0000 0.0000 0.2581
Na4 Na 0.0000 0.0000 0.3537
Na5 Na 0.0000 0.0000 0.4513
B1 B 0.3333 0.6667 0.0000
B2 B 0.3333 0.6667 0.1658
B3 B 0.3333 0.6667 0.2096
B4 B 0.3333 0.6667 0.3051
B5 B 0.3333 0.6667 0.4027
B6 B 0.3333 0.6667 0.5000
B7 B 0.6667 0.3333 0.0000
B8 B 0.6667 0.3333 0.1695
B9 B 0.6667 0.3333 0.3051
B10 B 0.6667 0.3333 0.4027
B11 B 0.6667 0.3333 0.5000
C1 C 0.6667 0.3333 0.2112
# * V: 11.6 Å³ per atom
# * density: 2.14 g/cm³



#3
# Na5B9C PBE optimized geometry
data_Na5B9C
_chemical_formula_sum 'Na10 B18 C2'
_space_group_name_H-M_alt 'P -6 m 2'
_space_group_IT_number 187
_space_group_name_Hall 'P -6 2'
_cell_length_a 2.9856
_cell_length_b 2.9856
_cell_length_c 43.1204
_cell_angle_alpha 90.00
_cell_angle_beta 90.00
_cell_angle_gamma 120.00
loop_
_atom_site_label
_atom_site_type_symbol
_atom_site_fract_x
_atom_site_fract_y
_atom_site_fract_z
Na1 Na 0.0000 0.0000 0.0501
Na2 Na 0.0000 0.0000 0.1478
Na3 Na 0.0000 0.0000 0.2482
Na4 Na 0.0000 0.0000 0.3490
Na5 Na 0.0000 0.0000 0.4497
B1 B 0.3333 0.6667 0.0000
B2 B 0.3333 0.6667 0.0991
B3 B 0.3333 0.6667 0.1980
B4 B 0.3333 0.6667 0.2987
B5 B 0.3333 0.6667 0.3993
B6 B 0.3333 0.6667 0.5000
B7 B 0.6667 0.3333 0.0000
B8 B 0.6667 0.3333 0.1980
B9 B 0.6667 0.3333 0.2987
B10 B 0.6667 0.3333 0.3993
B11 B 0.6667 0.3333 0.5000
C1 C 0.6667 0.3333 0.0991
# * V: 11.1 Å³ per atom
# * density: 2.24 g/cm³



#4
# Na5B9C PBE optimized geometry
data_Na5B9C
_chemical_formula_sum 'Na20 B36 C4'
_space_group_name_H-M_alt 'C 1 2/m 1'
_space_group_IT_number 12
_space_group_name_Hall '-C 2y'
_cell_length_a 18.299
_cell_length_b 2.805
_cell_length_c 13.964
_cell_angle_alpha 90.00
_cell_angle_beta 111.61
_cell_angle_gamma 90.00
loop_
_atom_site_label
_atom_site_type_symbol
_atom_site_fract_x
_atom_site_fract_y
_atom_site_fract_z
Na1 Na 0.000 0.000 0.000
Na2 Na 0.000 0.000 0.500
Na3 Na 0.100 0.500 0.198
Na4 Na 0.100 0.500 0.702
Na5 Na 0.199 0.000 0.398
Na6 Na 0.201 0.000 0.901
B1 B 0.028 0.000 0.304
B2 B 0.033 0.000 0.819
B3 B 0.069 0.500 0.387
B4 B 0.074 0.500 0.900
B5 B 0.130 0.500 0.510
B6 B 0.163 0.000 0.074
B7 B 0.171 0.000 0.593
B8 B 0.227 0.000 0.202
B9 B 0.233 0.000 0.718
C1 C 0.132 0.500 0.014
# * V: 11.1 Å³ per atom
# * density: 2.24 g/cm³



Most stable: #4. Least stable: #2.



#1
# Na4B5C3 PBE optimized geometry
data_Na4B5C3
_chemical_formula_sum 'Na16 B20 C12'
_space_group_name_H-M_alt 'C 1 2/c 1'
_space_group_IT_number 15
_space_group_name_Hall '-C 2yc'
_cell_length_a 5.689
_cell_length_b 10.009
_cell_length_c 8.981
_cell_angle_alpha 90.00
_cell_angle_beta 108.40
_cell_angle_gamma 90.00
loop_
_atom_site_label
_atom_site_type_symbol
_atom_site_fract_x
_atom_site_fract_y
_atom_site_fract_z
Na1 Na 0.125 0.125 0.000
Na2 Na 0.126 0.375 0.503
B1 B 0.000 0.044 0.250
B2 B 0.000 0.214 0.250
B3 B 0.000 0.291 0.750
B4 B 0.241 0.453 0.250
C1 C 0.000 0.457 0.750
C2 C 0.249 0.292 0.249
# * V: 10.1 Å³ per atom
# * density: 2.49 g/cm³



#2
# Na4B5C3 PBE optimized geometry
data_Na4B5C3
_chemical_formula_sum 'Na8 B10 C6'
_space_group_name_H-M_alt 'P m m 2'
_space_group_IT_number 25
_space_group_name_Hall 'P 2 -2'
_cell_length_a 2.834
_cell_length_b 8.509
_cell_length_c 10.044
_cell_angle_alpha 90.00
_cell_angle_beta 90.00
_cell_angle_gamma 90.00
loop_
_atom_site_label
_atom_site_type_symbol
_atom_site_fract_x
_atom_site_fract_y
_atom_site_fract_z
Na1 Na 0.000 0.246 0.000
Na2 Na 0.000 0.249 0.500
Na3 Na 0.500 0.246 0.251
Na4 Na 0.500 0.250 0.749
B1 B 0.000 0.000 0.335
B2 B 0.000 0.000 0.834
B3 B 0.000 0.500 0.168
B4 B 0.000 0.500 0.671
B5 B 0.000 0.500 0.836
B6 B 0.500 0.000 0.084
B7 B 0.500 0.000 0.585
B8 B 0.500 0.500 0.401
B9 B 0.500 0.500 0.572
B10 B 0.500 0.500 0.937
C1 C 0.000 0.000 0.167
C2 C 0.000 0.000 0.667
C3 C 0.000 0.500 0.327
C4 C 0.500 0.000 0.418
C5 C 0.500 0.000 0.917
C6 C 0.500 0.500 0.091
# * V: 10.1 Å³ per atom
# * density: 2.50 g/cm³



Most stable: #2. Least stable: #1.



#1
# Na4B5C3 PBE optimized geometry
data_Na4B5C3
_chemical_formula_sum 'Na16 B20 C12'
_space_group_name_H-M_alt 'C 1 2 1'
_space_group_IT_number 5
_space_group_name_Hall 'C 2y'
_cell_length_a 17.303
_cell_length_b 4.923
_cell_length_c 5.780
_cell_angle_alpha 90.00
_cell_angle_beta 99.62
_cell_angle_gamma 90.00
loop_
_atom_site_label
_atom_site_type_symbol
_atom_site_fract_x
_atom_site_fract_y
_atom_site_fract_z
Na1 Na 0.124 0.000 0.061
Na2 Na 0.124 0.499 0.312
Na3 Na 0.124 0.500 0.812
Na4 Na 0.124 0.999 0.562
B1 B 0.000 0.166 0.250
B2 B 0.000 0.666 0.000
B3 B 0.000 0.666 0.500
B4 B 0.250 0.179 0.877
B5 B 0.250 0.309 0.140
B6 B 0.250 0.335 0.616
C1 C 0.000 0.331 0.000
C2 C 0.000 0.331 0.500
C3 C 0.000 0.831 0.250
C4 C 0.250 0.172 0.381
# * V: 10.1 Å³ per atom
# * density: 2.49 g/cm³



#2
# Na4B5C3 PBE optimized geometry
data_Na4B5C3
_chemical_formula_sum 'Na16 B20 C12'
_space_group_name_H-M_alt 'I m m 2'
_space_group_IT_number 44
_space_group_name_Hall 'I 2 -2'
_cell_length_a 2.822
_cell_length_b 34.071
_cell_length_c 5.045
_cell_angle_alpha 90.00
_cell_angle_beta 90.00
_cell_angle_gamma 90.00
loop_
_atom_site_label
_atom_site_type_symbol
_atom_site_fract_x
_atom_site_fract_y
_atom_site_fract_z
Na1 Na 0.000 0.062 0.000
Na2 Na 0.000 0.188 0.000
Na3 Na 0.000 0.312 0.002
Na4 Na 0.000 0.438 0.002
B1 B 0.000 0.000 0.670
B2 B 0.000 0.125 0.362
B3 B 0.000 0.250 0.670
B4 B 0.000 0.375 0.323
B5 B 0.000 0.375 0.656
B6 B 0.000 0.500 0.670
C1 C 0.000 0.000 0.336
C2 C 0.000 0.125 0.666
C3 C 0.000 0.250 0.336
C4 C 0.000 0.500 0.336
# * V: 10.1 Å³ per atom
# * density: 2.49 g/cm³



#3
# Na4B5C3 PBE optimized geometry
data_Na4B5C3
_chemical_formula_sum 'Na8 B10 C6'
_space_group_name_H-M_alt 'P m m n'
_space_group_IT_number 59
_cell_length_a 2.810
_cell_length_b 8.539
_cell_length_c 10.114
_cell_angle_alpha 90.00
_cell_angle_beta 90.00
_cell_angle_gamma 90.00
loop_
_space_group_symop_operation_xyz
'x,y,z'
'-x,-y,-z'
'-x+1/2,-y+1/2,z'
'x+1/2,y+1/2,-z'
'x+1/2,-y,-z'
'-x+1/2,y,z'
'-x,y+1/2,-z'
'x,-y+1/2,z'
loop_
_atom_site_label
_atom_site_type_symbol
_atom_site_fract_x
_atom_site_fract_y
_atom_site_fract_z
Na1 Na 0.250 0.001 0.123
Na2 Na 0.250 0.001 0.626
B1 B 0.250 0.250 0.312
B2 B 0.250 0.250 0.787
B3 B 0.250 0.750 0.452
B4 B 0.250 0.750 0.799
B5 B 0.250 0.750 0.972
C1 C 0.250 0.250 0.466
C2 C 0.250 0.250 0.948
C3 C 0.250 0.750 0.293
# * V: 10.1 Å³ per atom
# * density: 2.49 g/cm³



#4
# Na4B5C3 PBE optimized geometry
data_Na4B5C3
_chemical_formula_sum 'Na8 B10 C6'
_space_group_name_H-M_alt 'P m m n'
_space_group_IT_number 59
_cell_length_a 5.695
_cell_length_b 8.514
_cell_length_c 5.006
_cell_angle_alpha 90.00
_cell_angle_beta 90.00
_cell_angle_gamma 90.00
loop_
_space_group_symop_operation_xyz
'x,y,z'
'-x,-y,-z'
'-x+1/2,-y+1/2,z'
'x+1/2,y+1/2,-z'
'x+1/2,-y,-z'
'-x+1/2,y,z'
'-x,y+1/2,-z'
'x,-y+1/2,z'
loop_
_atom_site_label
_atom_site_type_symbol
_atom_site_fract_x
_atom_site_fract_y
_atom_site_fract_z
Na1 Na 0.000 0.000 0.000
Na2 Na 0.250 0.003 0.498
B1 B 0.012 0.750 0.346
B2 B 0.250 0.250 0.180
B3 B 0.250 0.250 0.841
B4 B 0.250 0.750 0.837
C1 C 0.005 0.750 0.664
C2 C 0.250 0.750 0.164
# * V: 10.1 Å³ per atom
# * density: 2.49 g/cm³



Most stable: #3. Least stable: #4.